(P)
Here is a relaxed SrTi3Nb crystal from Alexandria. Energies are from GGA-PBE.

As for the space-group type: Pm-3m, No. 221.

abc: 4.993 4.993 4.993
angles: 90.00 90.00 90.00
Fractional positions:
Sr  0.000  0.000  0.000
Ti  0.000  0.500  0.500
Ti  0.500  0.000  0.500
Ti  0.500  0.500  0.000
Nb  0.500  0.500  0.500


(Q)
Here is a relaxed SrTi3Nb crystal from Alexandria. Energies are from GGA-PBE.

As for the space-group type: Pm-3m, No. 221.

abc: 4.695 4.695 4.695
angles: 90.00 90.00 90.00
Fractional positions:
Sr  0.000  0.000  0.000
Ti  0.000  0.000  0.500
Ti  0.000  0.500  0.000
Ti  0.500  0.000  0.000
Nb  0.500  0.500  0.500


(P) is the most stable structure; the next one sits 1201 meV/atom above it.


(P)
Here is a relaxed SrTi2Nb crystal from Alexandria. Energies are from GGA-PBE.

As for the space-group type: I4_1/amd, No. 141.

abc: 9.786 9.786 9.786
angles: 150.09 150.09 42.81
Fractional positions:
Sr  0.375  0.625  0.750
Sr  0.625  0.375  0.250
Ti  0.000  0.000  0.000
Ti  0.000  0.000  0.500
Ti  0.000  0.500  0.000
Ti  0.500  0.000  0.500
Nb  0.125  0.875  0.250
Nb  0.875  0.125  0.750


(Q)
Here is a relaxed SrTi2Nb crystal from Alexandria. Energies are from GGA-PBE.

As for the space-group type: Fm-3m, No. 225.

abc: 4.938 4.938 4.938
angles: 60.00 60.00 60.00
Fractional positions:
Sr  0.000  0.000  0.000
Ti  0.250  0.250  0.250
Ti  0.750  0.750  0.750
Nb  0.500  0.500  0.500


(Q) is the most stable structure; the next one sits 414 meV/atom above it.


(P)
Here is a relaxed SrNb2Tl crystal from Alexandria. Energies are from GGA-PBE.

As for the space-group type: I-42d, No. 122.

abc: 6.673 6.673 6.673
angles: 100.85 100.85 128.56
Fractional positions:
Sr  0.000  0.000  0.000
Sr  0.750  0.250  0.500
Nb  0.163  0.125  0.538
Nb  0.375  0.837  0.962
Nb  0.587  0.625  0.462
Nb  0.875  0.413  0.038
Tl  0.250  0.750  0.500
Tl  0.500  0.500  0.000


(Q)
Here is a relaxed SrNb2Tl crystal from Alexandria. Energies are from GGA-PBE.

As for the space-group type: Fm-3m, No. 225.

abc: 5.030 5.030 5.030
angles: 60.00 60.00 60.00
Fractional positions:
Sr  0.000  0.000  0.000
Nb  0.250  0.250  0.250
Nb  0.750  0.750  0.750
Tl  0.500  0.500  0.500


(Q) is the most stable structure; the next one sits 122 meV/atom above it.


(P)
Here is a relaxed Sr3NbTl crystal from Alexandria. Energies are from GGA-PBE.

As for the space-group type: Pm-3m, No. 221.

abc: 5.905 5.905 5.905
angles: 90.00 90.00 90.00
Fractional positions:
Sr  0.000  0.000  0.500
Sr  0.000  0.500  0.000
Sr  0.500  0.000  0.000
Nb  0.000  0.000  0.000
Tl  0.500  0.500  0.500


(Q)
Here is a relaxed Sr3NbTl crystal from Alexandria. Energies are from GGA-PBE.

As for the space-group type: Pm-3m, No. 221.

abc: 6.231 6.231 6.231
angles: 90.00 90.00 90.00
Fractional positions:
Sr  0.000  0.000  0.500
Sr  0.000  0.500  0.000
Sr  0.500  0.000  0.000
Nb  0.500  0.500  0.500
Tl  0.000  0.000  0.000


(P) is the most stable structure; the next one sits 61 meV/atom above it.


(P)
Here is a relaxed SrNb3Tl crystal from Alexandria. Energies are from GGA-PBE.

As for the space-group type: Pm-3m, No. 221.

abc: 5.276 5.276 5.276
angles: 90.00 90.00 90.00
Fractional positions:
Sr  0.000  0.000  0.000
Nb  0.000  0.500  0.500
Nb  0.500  0.000  0.500
Nb  0.500  0.500  0.000
Tl  0.500  0.500  0.500


(Q)
Here is a relaxed SrNb3Tl crystal from Alexandria. Energies are from GGA-PBE.

As for the space-group type: Pm-3m, No. 221.

abc: 4.941 4.941 4.941
angles: 90.00 90.00 90.00
Fractional positions:
Sr  0.000  0.000  0.000
Nb  0.000  0.000  0.500
Nb  0.000  0.500  0.000
Nb  0.500  0.000  0.000
Tl  0.500  0.500  0.500


(P) is the most stable structure; the next one sits 643 meV/atom above it.


(P)
Here is a relaxed Sr2NbV crystal from Alexandria. Energies are from GGA-PBE.

As for the space-group type: I-42d, No. 122.

abc: 6.938 6.938 6.938
angles: 101.55 101.55 126.83
Fractional positions:
Sr  0.110  0.125  0.485
Sr  0.375  0.890  0.015
Sr  0.640  0.625  0.515
Sr  0.875  0.360  0.985
Nb  0.250  0.750  0.500
Nb  0.500  0.500  0.000
V  0.000  0.000  0.000
V  0.750  0.250  0.500


(Q)
Here is a relaxed Sr2NbV crystal from Alexandria. Energies are from GGA-PBE.

As for the space-group type: Fm-3m, No. 225.

abc: 5.652 5.652 5.652
angles: 60.00 60.00 60.00
Fractional positions:
Sr  0.250  0.250  0.250
Sr  0.750  0.750  0.750
Nb  0.000  0.000  0.000
V  0.500  0.500  0.500


(Q) is the most stable structure; the next one sits 193 meV/atom above it.


(P)
Here is a relaxed SrNb3W crystal from Alexandria. Energies are from GGA-PBE.

As for the space-group type: Pm-3m, No. 221.

abc: 4.758 4.758 4.758
angles: 90.00 90.00 90.00
Fractional positions:
Sr  0.000  0.000  0.000
Nb  0.000  0.000  0.500
Nb  0.000  0.500  0.000
Nb  0.500  0.000  0.000
W  0.500  0.500  0.500


(Q)
Here is a relaxed SrNb3W crystal from Alexandria. Energies are from GGA-PBE.

As for the space-group type: Pm-3m, No. 221.

abc: 5.018 5.018 5.018
angles: 90.00 90.00 90.00
Fractional positions:
Sr  0.000  0.000  0.000
Nb  0.000  0.500  0.500
Nb  0.500  0.000  0.500
Nb  0.500  0.500  0.000
W  0.500  0.500  0.500


(Q) is the most stable structure; the next one sits 1849 meV/atom above it.


(P)
Here is a relaxed Sr3YNb crystal from Alexandria. Energies are from GGA-PBE.

As for the space-group type: Pm-3m, No. 221.

abc: 5.949 5.949 5.949
angles: 90.00 90.00 90.00
Fractional positions:
Sr  0.000  0.000  0.500
Sr  0.000  0.500  0.000
Sr  0.500  0.000  0.000
Y  0.500  0.500  0.500
Nb  0.000  0.000  0.000


(Q)
Here is a relaxed Sr3YNb crystal from Alexandria. Energies are from GGA-PBE.

As for the space-group type: Pm-3m, No. 221.

abc: 6.037 6.037 6.037
angles: 90.00 90.00 90.00
Fractional positions:
Sr  0.000  0.000  0.500
Sr  0.000  0.500  0.000
Sr  0.500  0.000  0.000
Y  0.000  0.000  0.000
Nb  0.500  0.500  0.500


(P) is the most stable structure; the next one sits 752 meV/atom above it.


(P)
Here is a relaxed SrNb3Zn crystal from Alexandria. Energies are from GGA-PBE.

As for the space-group type: Pm-3m, No. 221.

abc: 4.875 4.875 4.875
angles: 90.00 90.00 90.00
Fractional positions:
Sr  0.000  0.000  0.000
Nb  0.000  0.000  0.500
Nb  0.000  0.500  0.000
Nb  0.500  0.000  0.000
Zn  0.500  0.500  0.500


(Q)
Here is a relaxed SrNb3Zn crystal from Alexandria. Energies are from GGA-PBE.

As for the space-group type: Pm-3m, No. 221.

abc: 4.949 4.949 4.949
angles: 90.00 90.00 90.00
Fractional positions:
Sr  0.000  0.000  0.000
Nb  0.000  0.500  0.500
Nb  0.500  0.000  0.500
Nb  0.500  0.500  0.000
Zn  0.500  0.500  0.500


(Q) is the most stable structure; the next one sits 1288 meV/atom above it.


(P)
Here is a relaxed SrNbZn3 crystal from Alexandria. Energies are from GGA-PBE.

As for the space-group type: Pm-3m, No. 221.

abc: 5.153 5.153 5.153
angles: 90.00 90.00 90.00
Fractional positions:
Sr  0.000  0.000  0.000
Nb  0.500  0.500  0.500
Zn  0.000  0.000  0.500
Zn  0.000  0.500  0.000
Zn  0.500  0.000  0.000


(Q)
Here is a relaxed SrNbZn3 crystal from Alexandria. Energies are from GGA-PBE.

As for the space-group type: Pm-3m, No. 221.

abc: 5.083 5.083 5.083
angles: 90.00 90.00 90.00
Fractional positions:
Sr  0.000  0.000  0.000
Nb  0.500  0.500  0.500
Zn  0.000  0.500  0.500
Zn  0.500  0.000  0.500
Zn  0.500  0.500  0.000


(Q) is the most stable structure; the next one sits 1309 meV/atom above it.


(P)
Here is a relaxed SrZr2Nb crystal from Alexandria. Energies are from GGA-PBE.

As for the space-group type: F-43m, No. 216.

abc: 5.208 5.208 5.208
angles: 60.00 60.00 60.00
Fractional positions:
Sr  0.000  0.000  0.000
Zr  0.500  0.500  0.500
Zr  0.750  0.750  0.750
Nb  0.250  0.250  0.250


(Q)
Here is a relaxed SrZr2Nb crystal from Alexandria. Energies are from GGA-PBE.

As for the space-group type: Fm-3m, No. 225.

abc: 5.154 5.154 5.154
angles: 60.00 60.00 60.00
Fractional positions:
Sr  0.000  0.000  0.000
Zr  0.250  0.250  0.250
Zr  0.750  0.750  0.750
Nb  0.500  0.500  0.500


(Q) is the most stable structure; the next one sits 85 meV/atom above it.


(P)
Here is a relaxed Ta3Nb7 crystal from Alexandria. Energies are from GGA-PBE.

As for the space-group type: C2/m, No. 12.

abc: 7.191 7.191 5.781
angles: 97.29 97.29 38.02
Fractional positions:
Ta  0.000  0.000  0.000
Ta  0.199  0.199  0.396
Ta  0.801  0.801  0.604
Nb  0.000  0.000  0.500
Nb  0.201  0.201  0.895
Nb  0.400  0.400  0.299
Nb  0.400  0.400  0.799
Nb  0.600  0.600  0.201
Nb  0.600  0.600  0.701
Nb  0.799  0.799  0.105


(Q)
Here is a relaxed Ta3Nb7 crystal from Alexandria. Energies are from GGA-PBE.

As for the space-group type: P6_3/mmc, No. 194.

abc: 9.023 9.023 5.439
angles: 90.00 90.00 120.00
Fractional positions:
Ta  0.218  0.436  0.250
Ta  0.218  0.782  0.250
Ta  0.436  0.218  0.750
Ta  0.564  0.782  0.250
Ta  0.782  0.218  0.750
Ta  0.782  0.564  0.750
Nb  0.000  0.500  0.000
Nb  0.000  0.500  0.500
Nb  0.121  0.243  0.750
Nb  0.121  0.879  0.750
Nb  0.243  0.121  0.250
Nb  0.333  0.667  0.750
Nb  0.500  0.000  0.000
Nb  0.500  0.000  0.500
Nb  0.500  0.500  0.000
Nb  0.500  0.500  0.500
Nb  0.667  0.333  0.250
Nb  0.757  0.879  0.750
Nb  0.879  0.121  0.250
Nb  0.879  0.757  0.250


(P) is the most stable structure; the next one sits 273 meV/atom above it.


(P)
Here is a relaxed Ta3Nb5 crystal from Alexandria. Energies are from GGA-PBE.

As for the space-group type: P4/mmm, No. 123.

abc: 3.313 3.313 13.262
angles: 90.00 90.00 90.00
Fractional positions:
Ta  0.000  0.000  0.000
Ta  0.500  0.500  0.375
Ta  0.500  0.500  0.625
Nb  0.000  0.000  0.249
Nb  0.000  0.000  0.500
Nb  0.000  0.000  0.751
Nb  0.500  0.500  0.126
Nb  0.500  0.500  0.874


(Q)
Here is a relaxed Ta3Nb5 crystal from Alexandria. Energies are from GGA-PBE.

As for the space-group type: I-4m2, No. 119.

abc: 10.151 10.151 10.151
angles: 157.87 157.87 31.50
Fractional positions:
Ta  0.000  0.000  0.000
Ta  0.624  0.124  0.500
Ta  0.876  0.376  0.500
Nb  0.125  0.625  0.500
Nb  0.250  0.250  0.000
Nb  0.375  0.875  0.500
Nb  0.500  0.500  0.000
Nb  0.750  0.750  0.000


(P) is the most stable structure; the next one sits 152 meV/atom above it.